Arrangement 1

The following is a DFT calculation (PBE) of HfSbAuI2 after structural relaxation.

a b c (Å): 5.5170 5.5170 5.7753
angles (deg): 90.00 90.00 90.00
With the nearest neighbours (Å) after each atom.
Atoms (fractional coordinates):
Hf (0.0000, 0.0000, 0.0000)  4 I 2.76, 2 Sb 2.89
Sb (0.0000, 0.0000, 0.5000)  2 Hf 2.89
Au (0.5000, 0.5000, 0.5000)  4 Sb 3.90, 8 I 3.99
I (0.0000, 0.5000, 0.0000)  2 Hf 2.76
I (0.5000, 0.0000, 0.0000)  2 Hf 2.76

Properties
- space group = P4/mmm, No. 123
- N(E_F) (states/eV per cell) = 2.66

---

Arrangement 2

The following is a DFT calculation (PBE) of HfSbAuI2 after structural relaxation.

a b c (Å): 5.4190 5.4190 5.5857
angles (deg): 90.00 90.00 90.00
With the nearest neighbours (Å) after each atom.
Atoms (fractional coordinates):
Hf (0.0000, 0.0000, 0.0000)  4 Sb 3.83, 8 I 3.89
Sb (0.5000, 0.5000, 0.0000)  2 Au 2.79
Au (0.5000, 0.5000, 0.5000)  4 I 2.71, 2 Sb 2.79
I (0.0000, 0.5000, 0.5000)  2 Au 2.71
I (0.5000, 0.0000, 0.5000)  2 Au 2.71

Properties
- space group = P4/mmm, No. 123
- N(E_F) (states/eV per cell) = 4.55

---

Relative energies, eV/atom: arrangement 1 0.000; arrangement 2 0.595.

---

Arrangement 1

The following is a DFT calculation (PBE) of HfTe2AuI after structural relaxation.

a b c (Å): 5.4373 5.4373 5.3099
angles (deg): 90.00 90.00 90.00
With the nearest neighbours (Å) after each atom.
Atoms (fractional coordinates):
Hf (0.0000, 0.0000, 0.0000)  8 Te 3.80, 4 I 3.84
Te (0.0000, 0.5000, 0.5000)  2 Au 2.72
Te (0.5000, 0.0000, 0.5000)  2 Au 2.72
Au (0.5000, 0.5000, 0.5000)  2 I 2.65, 4 Te 2.72
I (0.5000, 0.5000, 0.0000)  2 Au 2.65

Properties
- space group = P4/mmm, No. 123
- N(E_F) (states/eV per cell) = 3.54

---

Arrangement 2

The following is a DFT calculation (PBE) of HfTe2AuI after structural relaxation.

a b c (Å): 5.5702 5.5702 5.6092
angles (deg): 90.00 90.00 90.00
With the nearest neighbours (Å) after each atom.
Atoms (fractional coordinates):
Hf (0.0000, 0.0000, 0.0000)  4 Te 2.79, 2 I 2.80
Te (0.0000, 0.5000, 0.0000)  2 Hf 2.79
Te (0.5000, 0.0000, 0.0000)  2 Hf 2.79
Au (0.5000, 0.5000, 0.5000)  4 I 3.94, 8 Te 3.95
I (0.0000, 0.0000, 0.5000)  2 Hf 2.80

Properties
- space group = P4/mmm, No. 123
- N(E_F) (states/eV per cell) = 2.46

---

Relative energies, eV/atom: arrangement 1 0.555; arrangement 2 0.000.

---

Arrangement 1

The following is a DFT calculation (PBE) of Hf2In2Au after structural relaxation.

a b c (Å): 7.0060 7.0060 4.4220
angles (deg): 90.00 90.00 90.00
With the nearest neighbours (Å) after each atom.
Atoms (fractional coordinates):
Hf (0.1614, 0.3386, 0.0000)  6 In 2.95-3.07, 1 Hf 3.20
Hf (0.3386, 0.8386, 0.0000)  6 In 2.95-3.07, 1 Hf 3.20
Hf (0.6614, 0.1614, 0.0000)  6 In 2.95-3.07, 1 Hf 3.20
Hf (0.8386, 0.6614, 0.0000)  6 In 2.95-3.07, 1 Hf 3.20
In (0.1410, 0.6410, 0.5000)  2 Au 2.70, 1 In 2.79, 2 Hf 2.95
In (0.3590, 0.1410, 0.5000)  2 Au 2.70, 1 In 2.79, 2 Hf 2.95
In (0.6410, 0.8590, 0.5000)  2 Au 2.70, 1 In 2.79, 2 Hf 2.95
In (0.8590, 0.3590, 0.5000)  2 Au 2.70, 1 In 2.79, 2 Hf 2.95
Au (0.0000, 0.0000, 0.5000)  4 In 2.70
Au (0.5000, 0.5000, 0.5000)  4 In 2.70

Properties
- space group = P4/mbm, No. 127
- N(E_F) (states/eV per cell) = 3.88

---

Arrangement 2

The following is a DFT calculation (PBE) of Hf2In2Au after structural relaxation.

a b c (Å): 7.1603 7.1603 4.5977
angles (deg): 90.00 90.00 90.00
With the nearest neighbours (Å) after each atom.
Atoms (fractional coordinates):
Hf (0.1507, 0.3493, 0.0000)  2 Au 2.72, 2 In 3.03
Hf (0.3493, 0.8493, 0.0000)  2 Au 2.72, 2 In 3.03
Hf (0.6507, 0.1507, 0.0000)  2 Au 2.72, 2 In 3.03
Hf (0.8493, 0.6507, 0.0000)  2 Au 2.72, 2 In 3.03
In (0.1545, 0.6545, 0.5000)  6 Hf 3.03-3.17, 1 In 3.13
In (0.3455, 0.1545, 0.5000)  6 Hf 3.03-3.17, 1 In 3.13
In (0.6545, 0.8455, 0.5000)  6 Hf 3.03-3.17, 1 In 3.13
In (0.8455, 0.3455, 0.5000)  6 Hf 3.03-3.17, 1 In 3.13
Au (0.0000, 0.0000, 0.0000)  4 Hf 2.72
Au (0.5000, 0.5000, 0.0000)  4 Hf 2.72

Properties
- space group = P4/mbm, No. 127
- N(E_F) (states/eV per cell) = 7.69

---

Relative energies, eV/atom: arrangement 1 0.000; arrangement 2 0.081.

---

Arrangement 1

The following is a DFT calculation (PBE) of Hf2InTcAu after structural relaxation.

a b c (Å): 5.1122 5.1122 4.9227
angles (deg): 90.00 90.00 90.00
With the nearest neighbours (Å) after each atom.
Atoms (fractional coordinates):
Hf (0.0000, 0.5000, 0.0000)  2 Au 2.56
Hf (0.5000, 0.0000, 0.0000)  2 Au 2.56
In (0.0000, 0.0000, 0.5000)  2 Au 2.46
Tc (0.5000, 0.5000, 0.5000)  8 Hf 3.55, 4 In 3.61
Au (0.0000, 0.0000, 0.0000)  2 In 2.46, 4 Hf 2.56

Properties
- space group = P4/mmm, No. 123
- N(E_F) (states/eV per cell) = 5.72

---

Arrangement 2

The following is a DFT calculation (PBE) of Hf2InTcAu after structural relaxation.

a b c (Å): 5.0635 5.0635 4.9737
angles (deg): 90.00 90.00 90.00
With the nearest neighbours (Å) after each atom.
Atoms (fractional coordinates):
Hf (0.0000, 0.5000, 0.0000)  2 Au 2.53
Hf (0.5000, 0.0000, 0.0000)  2 Au 2.53
In (0.0000, 0.0000, 0.5000)  8 Hf 3.55, 4 Tc 3.58
Tc (0.5000, 0.5000, 0.5000)  2 Au 2.49
Au (0.5000, 0.5000, 0.0000)  2 Tc 2.49, 4 Hf 2.53

Properties
- space group = P4/mmm, No. 123
- N(E_F) (states/eV per cell) = 4.86

---

Relative energies, eV/atom: arrangement 1 0.177; arrangement 2 0.000.

---

Arrangement 1

The following is a DFT calculation (PBE) of KHf2Au after structural relaxation.

a b c (Å): 10.2318 10.2318 10.2318
angles (deg): 148.57 148.57 45.05
With the nearest neighbours (Å) after each atom.
Atoms (fractional coordinates):
K (0.0000, 0.0000, 0.0000)  8 Hf 3.83-3.96, 4 Au 3.92
K (0.7500, 0.2500, 0.5000)  8 Hf 3.83-3.96, 4 Au 3.92
Hf (0.3581, 0.6250, 0.2331)  2 Au 2.74, 2 Hf 2.78
Hf (0.3750, 0.6081, 0.7331)  2 Au 2.74, 2 Hf 2.78
Hf (0.3919, 0.1250, 0.7669)  2 Au 2.74, 2 Hf 2.78
Hf (0.8750, 0.6419, 0.2669)  2 Au 2.74, 2 Hf 2.78
Au (0.2500, 0.7500, 0.5000)  4 Hf 2.74
Au (0.5000, 0.5000, 0.0000)  4 Hf 2.74

Properties
- space group = I-42d, No. 122
- N(E_F) (states/eV per cell) = 9.18

---

Arrangement 2

The following is a DFT calculation (PBE) of KHf2Au after structural relaxation.

a b c (Å): 4.9517 4.9517 4.9517
angles (deg): 60.00 60.00 60.00
With the nearest neighbours (Å) after each atom.
Atoms (fractional coordinates):
K (0.0000, 0.0000, 0.0000)  8 Hf 3.03
Hf (0.2500, 0.2500, 0.2500)  4 Au 3.03, 4 K 3.03
Hf (0.7500, 0.7500, 0.7500)  4 K 3.03, 4 Au 3.03
Au (0.5000, 0.5000, 0.5000)  8 Hf 3.03

Properties
- space group = Fm-3m, No. 225
- N(E_F) (states/eV per cell) = 4.08

---

Relative energies, eV/atom: arrangement 1 0.218; arrangement 2 0.000.

---

Arrangement 1

The following is a DFT calculation (PBE) of K2HfAu after structural relaxation.

a b c (Å): 5.7876 5.7876 5.7876
angles (deg): 60.00 60.00 60.00
With the nearest neighbours (Å) after each atom.
Atoms (fractional coordinates):
K (0.2500, 0.2500, 0.2500)  4 Hf 3.54, 4 Au 3.54
K (0.7500, 0.7500, 0.7500)  4 Au 3.54, 4 Hf 3.54
Hf (0.0000, 0.0000, 0.0000)  8 K 3.54
Au (0.5000, 0.5000, 0.5000)  8 K 3.54

Properties
- space group = Fm-3m, No. 225
- N(E_F) (states/eV per cell) = 10.62

---

Arrangement 2

The following is a DFT calculation (PBE) of K2HfAu after structural relaxation.

a b c (Å): 8.6636 8.6636 8.6636
angles (deg): 95.24 95.24 144.82
With the nearest neighbours (Å) after each atom.
Atoms (fractional coordinates):
K (0.3750, 0.2450, 0.3700)  2 Au 3.30
K (0.7550, 0.1250, 0.1300)  2 Au 3.30
K (0.8750, 0.0050, 0.6300)  2 Au 3.30
K (0.9950, 0.6250, 0.8700)  2 Au 3.30
Hf (0.2500, 0.7500, 0.5000)  2 Au 2.62
Hf (0.5000, 0.5000, 0.0000)  2 Au 2.62
Au (0.0000, 0.0000, 0.0000)  2 Hf 2.62
Au (0.7500, 0.2500, 0.5000)  2 Hf 2.62

Properties
- space group = I-42d, No. 122
- N(E_F) (states/eV per cell) = 7.21

---

Relative energies, eV/atom: arrangement 1 0.407; arrangement 2 0.000.

---

Arrangement 1

The following is a DFT calculation (PBE) of K3HfAu after structural relaxation.

a b c (Å): 6.6304 6.6304 6.6304
angles (deg): 90.00 90.00 90.00
With the nearest neighbours (Å) after each atom.
Atoms (fractional coordinates):
K (0.0000, 0.0000, 0.5000)  2 Hf 3.32
K (0.0000, 0.5000, 0.0000)  2 Hf 3.32
K (0.5000, 0.0000, 0.0000)  2 Hf 3.32
Hf (0.0000, 0.0000, 0.0000)  6 K 3.32
Au (0.5000, 0.5000, 0.5000)  12 K 4.69

Properties
- space group = Pm-3m, No. 221
- N(E_F) (states/eV per cell) = 5.65

---

Arrangement 2

The following is a DFT calculation (PBE) of K3HfAu after structural relaxation.

a b c (Å): 6.2546 6.2546 6.2546
angles (deg): 90.00 90.00 90.00
With the nearest neighbours (Å) after each atom.
Atoms (fractional coordinates):
K (0.0000, 0.0000, 0.5000)  2 Au 3.13
K (0.0000, 0.5000, 0.0000)  2 Au 3.13
K (0.5000, 0.0000, 0.0000)  2 Au 3.13
Hf (0.5000, 0.5000, 0.5000)  12 K 4.42
Au (0.0000, 0.0000, 0.0000)  6 K 3.13

Properties
- space group = Pm-3m, No. 221
- N(E_F) (states/eV per cell) = 14.55

---

Relative energies, eV/atom: arrangement 1 0.357; arrangement 2 0.000.

---

Arrangement 1

The following is a DFT calculation (PBE) of La2HfAu after structural relaxation.

a b c (Å): 5.3819 5.3819 5.3819
angles (deg): 60.00 60.00 60.00
With the nearest neighbours (Å) after each atom.
Atoms (fractional coordinates):
La (0.2500, 0.2500, 0.2500)  4 Au 3.30, 4 Hf 3.30
La (0.7500, 0.7500, 0.7500)  4 Au 3.30, 4 Hf 3.30
Hf (0.0000, 0.0000, 0.0000)  8 La 3.30
Au (0.5000, 0.5000, 0.5000)  8 La 3.30

Properties
- space group = Fm-3m, No. 225
- N(E_F) (states/eV per cell) = 4.21

---

Arrangement 2

The following is a DFT calculation (PBE) of La2HfAu after structural relaxation.

a b c (Å): 6.8095 6.8095 6.8095
angles (deg): 101.98 101.98 125.80
With the nearest neighbours (Å) after each atom.
Atoms (fractional coordinates):
La (0.0973, 0.1250, 0.4723)  2 Au 2.97, 2 La 3.14, 2 Hf 3.30
La (0.3750, 0.9027, 0.0277)  2 Au 2.97, 2 La 3.14, 2 Hf 3.30
La (0.6527, 0.6250, 0.5277)  2 Au 2.97, 2 La 3.14, 2 Hf 3.30
La (0.8750, 0.3473, 0.9723)  2 Au 2.97, 2 La 3.14, 2 Hf 3.30
Hf (0.2500, 0.7500, 0.5000)  2 Au 3.10, 4 La 3.30
Hf (0.5000, 0.5000, 0.0000)  2 Au 3.10, 4 La 3.30
Au (0.0000, 0.0000, 0.0000)  4 La 2.97, 2 Hf 3.10
Au (0.7500, 0.2500, 0.5000)  4 La 2.97, 2 Hf 3.10

Properties
- space group = I-42d, No. 122
- N(E_F) (states/eV per cell) = 14.38

---

Relative energies, eV/atom: arrangement 1 0.000; arrangement 2 0.104.